Entry 1:
# Pr3Nd2Y3 (PBE-GGA, optimized geometry)
data_Pr3Nd2Y3
_cell_length_a 5.156
_cell_length_b 5.181
_cell_length_c 20.635
_cell_angle_alpha 90.00
_cell_angle_beta 90.00
_cell_angle_gamma 90.00
_symmetry_space_group_name_H-M 'I m m m'
_symmetry_Int_Tables_number 71
_symmetry_space_group_name_Hall '-I 2 2'
loop_
_atom_site_label
_atom_site_type_symbol
_atom_site_fract_x
_atom_site_fract_y
_atom_site_fract_z
_atom_site_occupancy
Pr1 Pr 0.000 0.000 0.000 1
Pr2 Pr 0.000 0.500 0.124 1
Nd1 Nd 0.000 0.000 0.250 1
Y1 Y 0.000 0.000 0.500 1
Y2 Y 0.000 0.500 0.375 1
# * energy: -5.39 eV per atom
# * crystal system: orthorhombic
# * ΔE_f: 0.015 eV/atom

***

Entry 2:
# Ba2NbTcO6 (PBE-GGA, optimized geometry)
data_Ba2NbTcO6
_cell_length_a 8.225
_cell_length_b 8.228
_cell_length_c 8.236
_cell_angle_alpha 90.00
_cell_angle_beta 90.00
_cell_angle_gamma 90.00
_symmetry_space_group_name_H-M 'F m m m'
_symmetry_Int_Tables_number 69
_symmetry_space_group_name_Hall '-F 2 2'
loop_
_atom_site_label
_atom_site_type_symbol
_atom_site_fract_x
_atom_site_fract_y
_atom_site_fract_z
_atom_site_occupancy
Ba1 Ba 0.250 0.250 0.250 1
Nb1 Nb 0.000 0.000 0.000 1
Tc1 Tc 0.000 0.000 0.500 1
O1 O 0.000 0.000 0.248 1
O2 O 0.000 0.248 0.000 1
O3 O 0.248 0.000 0.000 1
# * energy: -7.85 eV per atom
# * crystal system: orthorhombic
# * energy relative to the elements, uncorrected: -2447.2 meV/atom